No. 1
Here is a relaxed structure of Rb4LaU3Te8 from Alexandria. Energies are from PBE.

Cell and atoms, written as CIF:
```
data_Rb4LaU3Te8
_cell_length_a 9.1979
_cell_length_b 9.1979
_cell_length_c 25.7831
_cell_angle_alpha 90.00
_cell_angle_beta 90.00
_cell_angle_gamma 120.00
_space_group_name_H-M_alt 'R -3 m'
_space_group_IT_number 166
_space_group_name_Hall '-R 3 2"'
loop_
_atom_site_label
_atom_site_type_symbol
_atom_site_fract_x
_atom_site_fract_y
_atom_site_fract_z
Rb1 Rb 0.0000 0.0000 0.0000
Rb2 Rb 0.0000 0.5000 0.0000
La1 La 0.0000 0.0000 0.5000
U1 U 0.0000 0.5000 0.5000
Te1 Te 0.0000 0.0000 0.2334
Te2 Te 0.0075 0.5038 0.7652
```

formation energy without anion corrections: -0.99 eV per atom
VASP energy: -250.825 eV/cell

=====

No. 2
Here is a relaxed structure of BeCu2P from Alexandria. Energies are from PBE.

Cell and atoms, written as CIF:
```
data_BeCu2P
_cell_length_a 8.575
_cell_length_b 2.630
_cell_length_c 4.158
_cell_angle_alpha 90.00
_cell_angle_beta 93.71
_cell_angle_gamma 90.00
_space_group_name_H-M_alt 'C 1 m 1'
_space_group_IT_number 8
loop_
_space_group_symop_operation_xyz
'x,y,z'
'x,-y,z'
'x+1/2,y+1/2,z'
'x+1/2,-y+1/2,z'
loop_
_atom_site_label
_atom_site_type_symbol
_atom_site_fract_x
_atom_site_fract_y
_atom_site_fract_z
Be1 Be 0.000 0.000 0.000
Cu1 Cu 0.023 0.500 0.521
Cu2 Cu 0.260 0.000 0.790
P1 P 0.284 0.500 0.286
```

VASP energy: -33.442 eV/cell
energy of formation from the pure elements: 0.15 eV per atom
energy relative to the lowest polymorph listed for this composition: 0.111 eV per atom